[1]
Ba5CrN5 | PBEsol | relaxed

Cell and atoms, written as POSCAR:
```
Ba5CrN5
1.0
5.255 -5.846 0.000
5.255 5.846 0.000
-3.342 0.000 8.743
Ba Cr N
10 2 10
Direct
0.074 0.074 0.200
0.094 0.564 0.243
0.337 0.337 0.006
0.387 0.387 0.616
0.436 0.906 0.757
0.564 0.094 0.243
0.613 0.613 0.384
0.663 0.663 0.994
0.906 0.436 0.757
0.926 0.926 0.800
0.243 0.757 0.000
0.757 0.243 0.000
0.023 0.716 0.007
0.270 0.613 0.838
0.284 0.977 0.993
0.349 0.349 0.311
0.387 0.730 0.162
0.613 0.270 0.838
0.651 0.651 0.689
0.716 0.023 0.007
0.730 0.387 0.162
0.977 0.284 0.993
```

Calculated values
DOS(E_F) (states/eV/f.u.): 1.7
SG: C2/m
Uncorrected formation energy (kJ/mol of formula units): -894
Raw total energy (eV per atom): -6.626
Mass density (g/cm³): 5.00

[2]
Ba3CrN3 | PBEsol | relaxed

Cell and atoms, written as POSCAR:
```
Ba3CrN3
1.0
8.211 0.000 0.000
-4.106 7.111 0.000
0.000 0.000 5.448
Ba Cr N
6 2 6
Direct
0.084 0.362 0.250
0.278 0.916 0.250
0.362 0.278 0.750
0.638 0.722 0.250
0.722 0.084 0.750
0.916 0.638 0.750
0.333 0.667 0.750
0.667 0.333 0.250
0.133 0.451 0.750
0.319 0.867 0.750
0.451 0.319 0.250
0.549 0.681 0.750
0.681 0.133 0.250
0.867 0.549 0.250
```

Calculated values
DOS(E_F) (states/eV/f.u.): 1.4
SG: P6_3/m
Uncorrected formation energy (kJ/mol of formula units): -577
Raw total energy (eV per atom): -6.893
Mass density (g/cm³): 5.28

[3]
Ba2CrN3 | PBEsol | relaxed

Cell and atoms, written as POSCAR:
```
Ba2CrN3
1.0
2.883 -5.756 0.000
2.883 5.756 0.000
0.000 0.000 12.786
Ba Cr N
8 4 12
Direct
0.061 0.939 0.860
0.144 0.856 0.417
0.356 0.644 0.917
0.439 0.561 0.360
0.561 0.439 0.640
0.644 0.356 0.083
0.856 0.144 0.583
0.939 0.061 0.140
0.239 0.761 0.667
0.261 0.739 0.167
0.739 0.261 0.833
0.761 0.239 0.333
0.014 0.486 0.750
0.094 0.906 0.631
0.168 0.832 0.059
0.332 0.668 0.559
0.406 0.594 0.131
0.486 0.014 0.250
0.514 0.986 0.750
0.594 0.406 0.869
0.668 0.332 0.441
0.832 0.168 0.941
0.906 0.094 0.369
0.986 0.514 0.250
```

Calculated values
DOS(E_F) (states/eV/f.u.): 3.1
SG: Cmce
Uncorrected formation energy (kJ/mol of formula units): -547
Raw total energy (eV per atom): -7.631
Mass density (g/cm³): 5.77

[4]
Ba2NbCrO6 | PBEsol | relaxed

Cell and atoms, written as POSCAR:
```
Ba2NbCrO6
1.0
5.732 0.000 0.000
-2.866 4.964 0.000
0.000 0.000 18.812
Ba Nb Cr O
8 4 4 24
Direct
0.000 0.000 0.000
0.000 0.000 0.500
0.333 0.667 0.141
0.333 0.667 0.359
0.333 0.667 0.750
0.667 0.333 0.250
0.667 0.333 0.641
0.667 0.333 0.859
0.333 0.667 0.565
0.333 0.667 0.935
0.667 0.333 0.065
0.667 0.333 0.435
0.000 0.000 0.182
0.000 0.000 0.318
0.000 0.000 0.682
0.000 0.000 0.818
0.000 0.500 0.000
0.000 0.500 0.500
0.148 0.297 0.250
0.148 0.852 0.250
0.167 0.334 0.623
0.167 0.334 0.877
0.167 0.833 0.623
0.167 0.833 0.877
0.297 0.148 0.750
0.334 0.167 0.123
0.334 0.167 0.377
0.500 0.000 0.000
0.500 0.000 0.500
0.500 0.500 0.000
0.500 0.500 0.500
0.666 0.833 0.623
0.666 0.833 0.877
0.703 0.852 0.250
0.833 0.167 0.123
0.833 0.167 0.377
0.833 0.666 0.123
0.833 0.666 0.377
0.852 0.148 0.750
0.852 0.703 0.750
```

Calculated values
DOS(E_F) (states/eV/f.u.): 1.7
SG: P6_3/mmc
Uncorrected formation energy (kJ/mol of formula units): -2592
Raw total energy (eV per atom): -8.372
Mass density (g/cm³): 6.40

[5]
Ba2ZnCrNi | PBEsol | relaxed

Cell and atoms, written as POSCAR:
```
Ba2ZnCrNi
1.0
5.771 0.000 0.000
0.000 5.771 0.000
0.000 0.000 4.634
Ba Zn Cr Ni
2 1 1 1
Direct
0.000 0.500 0.000
0.500 0.000 0.000
0.000 0.000 0.500
0.500 0.500 0.500
0.000 0.000 0.000
```

Calculated values
Energy relative to the elements (meV/atom): 493
DOS(E_F) (states/eV/f.u.): 3.4
SG: P4/mmm
Raw total energy (eV per atom): -3.962
Mass density (g/cm³): 4.85

[6]
BaZnCr2Ni | PBEsol | relaxed

Cell and atoms, written as POSCAR:
```
BaZnCr2Ni
1.0
4.742 0.000 0.000
0.000 4.742 0.000
0.000 0.000 4.641
Ba Zn Cr Ni
1 1 2 1
Direct
0.000 0.000 0.000
0.500 0.500 0.000
0.000 0.500 0.500
0.500 0.000 0.500
0.500 0.500 0.500
```

Calculated values
Energy relative to the elements (meV/atom): 696
DOS(E_F) (states/eV/f.u.): 4.9
SG: P4/mmm
Raw total energy (eV per atom): -5.378
Mass density (g/cm³): 5.82

[7]
BaCrO2 | PBEsol | relaxed

Cell and atoms, written as POSCAR:
```
BaCrO2
1.0
2.084 1.203 5.847
-2.084 1.203 5.847
0.000 -2.406 5.847
Ba Cr O
1 1 2
Direct
0.000 0.000 0.000
0.500 0.500 0.500
0.401 0.401 0.401
0.599 0.599 0.599
```

Calculated values
DOS(E_F) (states/eV/f.u.): 3.5
SG: R-3m
Uncorrected formation energy (kJ/mol of formula units): -649
Raw total energy (eV per atom): -7.404
Mass density (g/cm³): 4.18

[8]
BaCrO4 | PBEsol | relaxed

Cell and atoms, written as POSCAR:
```
BaCrO4
1.0
9.099 0.000 0.000
0.000 5.475 0.000
0.000 0.000 7.305
Ba Cr O
4 4 16
Direct
0.185 0.250 0.154
0.315 0.750 0.654
0.685 0.250 0.346
0.815 0.750 0.846
0.055 0.250 0.696
0.445 0.750 0.196
0.555 0.250 0.804
0.945 0.750 0.304
0.081 0.006 0.825
0.081 0.494 0.825
0.115 0.750 0.377
0.176 0.250 0.530
0.324 0.750 0.030
0.385 0.250 0.877
0.419 0.506 0.325
0.419 0.994 0.325
0.581 0.006 0.675
0.581 0.494 0.675
0.615 0.750 0.123
0.676 0.250 0.970
0.824 0.750 0.470
0.885 0.250 0.623
0.919 0.506 0.175
0.919 0.994 0.175
```

Calculated values
DOS(E_F) (states/eV/f.u.): 0.0
SG: Pnma
Uncorrected formation energy (kJ/mol of formula units): -1389
Raw total energy (eV per atom): -7.965
Mass density (g/cm³): 4.62

[9]
Ba2CrO4 | PBEsol | relaxed

Cell and atoms, written as POSCAR:
```
Ba2CrO4
1.0
7.629 0.000 0.000
0.000 5.852 0.000
0.000 0.000 10.427
Ba Cr O
8 4 16
Direct
0.005 0.250 0.194
0.147 0.750 0.426
0.353 0.250 0.926
0.495 0.750 0.694
0.505 0.250 0.306
0.647 0.750 0.074
0.853 0.250 0.574
0.995 0.750 0.806
0.218 0.750 0.079
0.282 0.250 0.579
0.718 0.750 0.421
0.782 0.250 0.921
0.011 0.250 0.918
0.185 0.250 0.422
0.191 0.003 0.648
0.191 0.497 0.648
0.309 0.503 0.148
0.309 0.997 0.148
0.315 0.750 0.922
0.489 0.750 0.418
0.511 0.250 0.582
0.685 0.250 0.078
0.691 0.003 0.852
0.691 0.497 0.852
0.809 0.503 0.352
0.809 0.997 0.352
0.815 0.750 0.578
0.989 0.750 0.082
```

Calculated values
SG: Pnma
Uncorrected formation energy (kJ/mol of formula units): -1676
Raw total energy (eV per atom): -7.558
Mass density (g/cm³): 5.57

[10]
BaCr2O4 | PBEsol | relaxed

Cell and atoms, written as POSCAR:
```
BaCr2O4
1.0
5.958 0.000 0.000
0.000 12.169 0.000
0.000 0.000 5.170
Ba Cr O
4 8 16
Direct
0.250 0.250 0.052
0.250 0.750 0.365
0.750 0.250 0.635
0.750 0.750 0.948
0.000 0.000 0.500
0.000 0.500 0.500
0.250 0.505 0.999
0.250 0.995 0.999
0.500 0.000 0.500
0.500 0.500 0.500
0.750 0.005 0.001
0.750 0.495 0.001
0.003 0.086 0.835
0.003 0.414 0.835
0.250 0.079 0.334
0.250 0.421 0.334
0.250 0.584 0.669
0.250 0.916 0.669
0.497 0.086 0.835
0.497 0.414 0.835
0.503 0.586 0.165
0.503 0.914 0.165
0.750 0.084 0.331
0.750 0.416 0.331
0.750 0.579 0.666
0.750 0.921 0.666
0.997 0.586 0.165
0.997 0.914 0.165
```

Calculated values
SG: Pmmn
Uncorrected formation energy (kJ/mol of formula units): -1467
Raw total energy (eV per atom): -8.405
Mass density (g/cm³): 5.41

[11]
BaCrSi4O10 | PBEsol | relaxed

Cell and atoms, written as POSCAR:
```
BaCrSi4O10
1.0
7.530 0.000 0.000
0.000 7.530 0.000
0.000 0.000 16.252
Ba Cr Si O
4 4 16 40
Direct
0.250 0.750 0.000
0.250 0.750 0.500
0.750 0.250 0.000
0.750 0.250 0.500
0.250 0.250 0.092
0.250 0.250 0.592
0.750 0.750 0.408
0.750 0.750 0.908
0.016 0.066 0.346
0.016 0.434 0.846
0.066 0.016 0.846
0.066 0.484 0.346
0.434 0.016 0.346
0.434 0.484 0.846
0.484 0.066 0.846
0.484 0.434 0.346
0.516 0.566 0.654
0.516 0.934 0.154
0.566 0.516 0.154
0.566 0.984 0.654
0.934 0.516 0.654
0.934 0.984 0.154
0.984 0.566 0.154
0.984 0.934 0.654
0.001 0.220 0.864
0.001 0.280 0.364
0.024 0.118 0.090
0.024 0.382 0.590
0.029 0.529 0.250
0.029 0.971 0.750
0.118 0.024 0.590
0.118 0.476 0.090
0.220 0.001 0.364
0.220 0.499 0.864
0.280 0.001 0.864
0.280 0.499 0.364
0.382 0.024 0.090
0.382 0.476 0.590
0.471 0.529 0.750
0.471 0.971 0.250
0.476 0.118 0.590
0.476 0.382 0.090
0.499 0.220 0.364
0.499 0.280 0.864
0.501 0.720 0.136
0.501 0.780 0.636
0.524 0.618 0.910
0.524 0.882 0.410
0.529 0.029 0.750
0.529 0.471 0.250
0.618 0.524 0.410
0.618 0.976 0.910
0.720 0.501 0.636
0.720 0.999 0.136
0.780 0.501 0.136
0.780 0.999 0.636
0.882 0.524 0.910
0.882 0.976 0.410
0.971 0.029 0.250
0.971 0.471 0.750
0.976 0.618 0.410
0.976 0.882 0.910
0.999 0.720 0.636
0.999 0.780 0.136
```

Calculated values
SG: P4/ncc
Uncorrected formation energy (kJ/mol of formula units): -4152
Raw total energy (eV per atom): -8.182
Mass density (g/cm³): 3.33

[12]
Ba2TaCrO6 | PBEsol | relaxed

Cell and atoms, written as POSCAR:
```
Ba2TaCrO6
1.0
5.721 0.000 0.000
-2.861 4.955 0.000
0.000 0.000 18.797
Ba Ta Cr O
8 4 4 24
Direct
0.000 0.000 0.000
0.000 0.000 0.500
0.333 0.667 0.142
0.333 0.667 0.358
0.333 0.667 0.750
0.667 0.333 0.250
0.667 0.333 0.642
0.667 0.333 0.858
0.333 0.667 0.564
0.333 0.667 0.936
0.667 0.333 0.064
0.667 0.333 0.436
0.000 0.000 0.181
0.000 0.000 0.319
0.000 0.000 0.681
0.000 0.000 0.819
0.000 0.500 0.000
0.000 0.500 0.500
0.149 0.297 0.250
0.149 0.851 0.250
0.169 0.337 0.621
0.169 0.337 0.879
0.169 0.831 0.621
0.169 0.831 0.879
0.297 0.149 0.750
0.337 0.169 0.121
0.337 0.169 0.379
0.500 0.000 0.000
0.500 0.000 0.500
0.500 0.500 0.000
0.500 0.500 0.500
0.663 0.831 0.621
0.663 0.831 0.879
0.703 0.851 0.250
0.831 0.169 0.121
0.831 0.169 0.379
0.831 0.663 0.121
0.831 0.663 0.379
0.851 0.149 0.750
0.851 0.703 0.750
```

Calculated values
DOS(E_F) (states/eV/f.u.): 0.6
SG: P6_3/mmc
Uncorrected formation energy (kJ/mol of formula units): -2696
Raw total energy (eV per atom): -8.653
Mass density (g/cm³): 7.52